LaBPb2N: relaxed, PBEsol.

Properties
Total magnetic moment (μB per formula unit): 0.00
Final energy (eV/atom): -4.30
Space group: P4/mmm (123)
Density (g/cm³): 6.2
Energy relative to the elements, uncorrected (eV per atom): 1.481

a = 4.051 Å, b = 6.186 Å, c = 6.186 Å
α = 90.00°, β = 90.00°, γ = 90.00°
Fractional coordinates of all 5 atoms:
Pb: 0.000 0.000 0.500
Pb: 0.000 0.500 0.000
B: 0.500 0.500 0.500
N: 0.500 0.000 0.000
La: 0.000 0.000 0.000